Computed, not measured: an optimized crystal structure of Ca2PuH8Ir at the PBE-GGA level of DFT.

Properties
D(E_F), states/eV/cell: 13.16
Symmetry: No. 164
Total DFT energy (no corrections), eV per atom: -4.868
V, Å³ per cell: 138

a = 4.8125 Å, b = 4.8125 Å, c = 6.8853 Å
α = 90.00°, β = 90.00°, γ = 120.00°
With the nearest neighbours (Å) after each atom.
Fractional coordinates of all 12 atoms:
Ca 0.3333 0.6667 0.3354  7 H 2.20-2.41
Ca 0.6667 0.3333 0.6646  7 H 2.20-2.41
Pu 0.0000 0.0000 0.0000  12 H 2.72-2.78
H 0.1610 0.3219 0.6561  1 Ir 1.72
H 0.1610 0.8390 0.6561  1 Ir 1.72
H 0.3219 0.1610 0.3439  1 Ir 1.72
H 0.3333 0.6667 0.0153  1 Ca 2.20
H 0.6667 0.3333 0.9847  1 Ca 2.20
H 0.6781 0.8390 0.6561  1 Ir 1.72
H 0.8390 0.1610 0.3439  1 Ir 1.72
H 0.8390 0.6781 0.3439  1 Ir 1.72
Ir 0.0000 0.0000 0.5000  6 H 1.72